Entry 1:
This record from the Alexandria database describes a relaxed RbSr3Os crystal. The functional is PBE-GGA.

For the polymorph energy (0 for the lowest one), the calculation gives 0 meV/atom. For the formation energy, the calculation gives 0.426 eV/atom.

The space group is Pm-3m (No. 221) and the conventional cell measures 6.078, 6.078 and 6.078 Å, with angles of 90.00, 90.00 and 90.00 degrees. The asymmetric unit holds Rb at (0.000, 0.000, 0.000), Sr at (0.000, 0.500, 0.500) and Os at (0.500, 0.500, 0.500).

Entry 2:
This record from the Alexandria database describes a relaxed La3Pm2PuSe6 crystal. The functional is PBE-GGA.

Its formation energy (no corrections) is -1.875 eV/atom.

The space group is C2/m (No. 12) and the conventional cell measures 7.345, 12.729 and 7.375 Å, with angles of 90.00, 109.38 and 90.00 degrees. The asymmetric unit holds La at (0.000, 0.000, 0.000), La at (0.000, 0.332, 0.000), Pm at (0.000, 0.167, 0.500), Pu at (0.000, 0.500, 0.500), Se at (0.245, 0.335, 0.740) and Se at (0.250, 0.000, 0.742).

Calculated total magnetization, 0.0, 11.8 Bohr magnetons per cell (same order as the records).
Calculated VASP energy, -15.11, -164.06 eV/cell (same order as the records).
Calculated V, 44.9, 27.1 Å³ per atom (same order as the records).